Arrangement one

Computed, not measured: a relaxed structure of KPd3Br at the GGA-PBE level of DFT.

## Properties
symmetry	No. 221
crystal system	cubic

a = 4.9169 Å, b = 4.9169 Å, c = 4.9169 Å
α = 90.00°, β = 90.00°, γ = 90.00°
Fractional coordinates of all 5 atoms:
K 0.5000 0.5000 0.5000
Pd 0.5000 0.0000 0.0000
Pd 0.0000 0.5000 0.0000
Pd 0.0000 0.0000 0.5000
Br 0.0000 0.0000 0.0000

Arrangement two

Computed, not measured: a relaxed structure of KPd3Br at the GGA-PBE level of DFT.

## Properties
symmetry	No. 221
crystal system	cubic

a = 5.1306 Å, b = 5.1306 Å, c = 5.1306 Å
α = 90.00°, β = 90.00°, γ = 90.00°
Fractional coordinates of all 5 atoms:
Pd 0.0000 0.0000 0.5000
Pd 0.0000 0.5000 0.0000
K 0.0000 0.0000 0.0000
Br 0.5000 0.5000 0.5000
Pd 0.5000 0.0000 0.0000

arrangement one is preferred energetically. Next in line: 1.053 eV/atom higher.

Arrangement one

Computed, not measured: a relaxed structure of KPdBr2 at the GGA-PBE level of DFT.

## Properties
symmetry	No. 122
crystal system	tetragonal

a = 6.3780 Å, b = 6.3780 Å, c = 8.5010 Å
α = 67.97°, β = 67.97°, γ = 90.00°
Fractional coordinates of all 8 atoms:
Br 0.8750 0.9628 0.7500
Br 0.7128 0.1250 0.2500
K 0.5000 0.5000 0.0000
Pd 0.7500 0.2500 0.5000
Pd 0.0000 0.0000 0.0000
Br 0.0372 0.6250 0.2500
K 0.2500 0.7500 0.5000
Br 0.3750 0.2872 0.7500

Arrangement two

Computed, not measured: a relaxed structure of KPdBr2 at the GGA-PBE level of DFT.

## Properties
symmetry	No. 166
crystal system	trigonal

a = 8.5709 Å, b = 8.5709 Å, c = 8.5709 Å
α = 34.17°, β = 34.17°, γ = 34.17°
Fractional coordinates of all 4 atoms:
K 0.5000 0.5000 0.5000
Pd 0.0000 0.0000 0.0000
Br 0.1008 0.1008 0.1008
Br 0.8992 0.8992 0.8992

Arrangement three

Computed, not measured: a relaxed structure of KPdBr2 at the GGA-PBE level of DFT.

## Properties
symmetry	No. 225
crystal system	cubic

a = 5.2589 Å, b = 5.2589 Å, c = 5.2589 Å
α = 60.00°, β = 60.00°, γ = 60.00°
Fractional coordinates of all 4 atoms:
K 0.0000 0.0000 0.0000
Br 0.7500 0.7500 0.7500
Pd 0.5000 0.5000 0.5000
Br 0.2500 0.2500 0.2500

arrangement one is preferred energetically. Next in line: 0.078 eV/atom higher.

Arrangement one

Computed, not measured: a relaxed structure of KPdSeBr2 at the GGA-PBE level of DFT.

## Properties
symmetry	No. 123
crystal system	tetragonal

a = 6.0215 Å, b = 6.0215 Å, c = 6.0371 Å
α = 90.00°, β = 90.00°, γ = 90.00°
Fractional coordinates of all 5 atoms:
K 0.0000 0.0000 0.0000
Br 0.5000 0.0000 0.0000
Se 0.0000 0.0000 0.5000
Pd 0.5000 0.5000 0.5000
Br 0.0000 0.5000 0.0000

Arrangement two

Computed, not measured: a relaxed structure of KPdSeBr2 at the GGA-PBE level of DFT.

## Properties
symmetry	No. 123
crystal system	tetragonal

a = 5.3960 Å, b = 5.3960 Å, c = 4.9179 Å
α = 90.00°, β = 90.00°, γ = 90.00°
Fractional coordinates of all 5 atoms:
Pd 0.0000 0.0000 0.0000
Se 0.0000 0.0000 0.5000
K 0.5000 0.5000 0.5000
Br 0.5000 0.0000 0.0000
Br 0.0000 0.5000 0.0000

arrangement two is preferred energetically. Next in line: 1.158 eV/atom higher.